# 1
## Sr3WN3 (GGA-PBE)

Data for a relaxed structure of Sr3WN3.

Cell and atoms, written as CIF:
```
data_Sr3WN3
_space_group_name_H-M_alt 'P 63/m'
_space_group_IT_number 176
_space_group_name_Hall '-P 6c'
_cell_length_a 7.9844
_cell_length_b 7.9844
_cell_length_c 5.3777
_cell_angle_alpha 90.00
_cell_angle_beta 90.00
_cell_angle_gamma 120.00
loop_
_atom_site_label
_atom_site_type_symbol
_atom_site_fract_x
_atom_site_fract_y
_atom_site_fract_z
Sr1 Sr 0.0972 0.3507 0.2500
W1 W 0.3333 0.6667 0.7500
N1 N 0.1164 0.4186 0.7500
```


# 2
## CrPb2CSe (GGA-PBE)

Data for a relaxed structure of CrPb2CSe.

Cell and atoms, written as CIF:
```
data_CrPb2CSe
_space_group_name_H-M_alt 'P 4/m m m'
_space_group_IT_number 123
_space_group_name_Hall '-P 4 2'
_cell_length_a 5.826
_cell_length_b 5.826
_cell_length_c 4.647
_cell_angle_alpha 90.00
_cell_angle_beta 90.00
_cell_angle_gamma 90.00
loop_
_atom_site_label
_atom_site_type_symbol
_atom_site_fract_x
_atom_site_fract_y
_atom_site_fract_z
Cr1 Cr 0.000 0.000 0.000
Pb1 Pb 0.000 0.500 0.500
C1 C 0.500 0.500 0.000
Se1 Se 0.000 0.000 0.500
```


# 3
# RbMnCl4, relaxed, DFT GGA-PBE
# * offset from the most stable computed form: 3 meV per atom
data_RbMnCl4
_space_group_name_H-M_alt 'I 41/a m d'
_space_group_IT_number 141
_cell_length_a 10.185
_cell_length_b 10.185
_cell_length_c 8.708
_cell_angle_alpha 90.00
_cell_angle_beta 90.00
_cell_angle_gamma 90.00
loop_
_space_group_symop_operation_xyz
'x,y,z'
'-x,-y,-z'
'-y+1/4,x+3/4,z+1/4'
'y+1/4,-x+3/4,-z+1/4'
'-x+1/2,-y,z+1/2'
'x+1/2,y,-z+1/2'
'y+1/4,-x+1/4,z+3/4'
'-y+1/4,x+1/4,-z+3/4'
'x,-y,-z'
'-x,y,z'
'-y+1/4,-x+1/4,-z+3/4'
'y+1/4,x+1/4,z+3/4'
'-x+1/2,y,-z+1/2'
'x+1/2,-y,z+1/2'
'y+1/4,x+3/4,-z+1/4'
'-y+1/4,-x+3/4,z+1/4'
'x+1/2,y+1/2,z+1/2'
'-x+1/2,-y+1/2,-z+1/2'
'-y+3/4,x+1/4,z+3/4'
'y+3/4,-x+1/4,-z+3/4'
'-x,-y+1/2,z'
'x,y+1/2,-z'
'y+3/4,-x+3/4,z+1/4'
'-y+3/4,x+3/4,-z+1/4'
'x+1/2,-y+1/2,-z+1/2'
'-x+1/2,y+1/2,z+1/2'
'-y+3/4,-x+3/4,-z+1/4'
'y+3/4,x+3/4,z+1/4'
'-x,y+1/2,-z'
'x,-y+1/2,z'
'y+3/4,x+1/4,-z+3/4'
'-y+3/4,-x+1/4,z+3/4'
loop_
_atom_site_label
_atom_site_type_symbol
_atom_site_fract_x
_atom_site_fract_y
_atom_site_fract_z
Rb1 Rb 0.000 0.250 0.375
Mn1 Mn 0.000 0.250 0.875
Cl1 Cl 0.000 0.082 0.711


Calculated ΔE_f (raw) in order - -0.8068; 1.6498; -1.2631 eV per atom
Calculated N(E_F) in order - 0.1259; 0.5044; 1.1191 states/eV/atom